Sm8GaPd2 PBE-GGA relaxed; space group = No. 8; formation energy = -278 meV/atom; distance to the lowest polymorph of the same formula = 0.109 eV per atom
1.0
4.322 -6.791 0.000
4.322 6.791 0.000
-1.595 0.000 5.509
Sm Ga Pd
8 1 2
Cartesian
0.000 0.000 0.000 Sm
0.468 1.703 3.156 Sm
2.868 3.126 1.001 Sm
0.468 -1.703 3.156 Sm
3.752 1.688 4.253 Sm
2.868 -3.126 1.001 Sm
3.752 -1.688 4.253 Sm
5.907 0.000 2.054 Sm
2.779 0.000 1.543 Ga
2.111 4.135 3.780 Pd
2.111 -4.135 3.780 Pd



Sm3Ga2Pd3 PBE-GGA relaxed; space group = No. 62; formation energy = -830 meV/atom; distance to the lowest polymorph of the same formula = 0.000 eV per atom
1.0
7.776 0.000 0.000
0.000 15.629 0.000
0.000 0.000 5.736
Sm Ga Pd
12 8 12
Cartesian
0.262 1.652 0.824 Sm
0.262 6.162 0.824 Sm
1.342 3.907 3.541 Sm
2.546 11.721 0.673 Sm
3.626 9.467 3.692 Sm
3.626 13.976 3.692 Sm
4.150 1.652 2.045 Sm
4.150 6.162 2.045 Sm
5.230 3.907 5.064 Sm
6.434 11.721 2.195 Sm
7.514 9.467 4.913 Sm
7.514 13.976 4.913 Sm
0.910 9.476 2.048 Ga
0.910 13.966 2.048 Ga
2.978 1.662 4.917 Ga
2.978 6.152 4.917 Ga
4.798 9.476 0.820 Ga
4.798 13.966 0.820 Ga
6.866 1.662 3.688 Ga
6.866 6.152 3.688 Ga
1.376 0.531 3.363 Pd
1.376 7.283 3.363 Pd
1.423 11.721 3.495 Pd
2.465 3.907 0.627 Pd
2.512 8.345 0.495 Pd
2.512 15.098 0.495 Pd
5.264 0.531 5.241 Pd
5.264 7.283 5.241 Pd
5.311 11.721 5.109 Pd
6.353 3.907 2.241 Pd
6.400 8.345 2.373 Pd
6.400 15.098 2.373 Pd



SmGa2Pd4 PBE-GGA relaxed; space group = No. 62; formation energy = -755 meV/atom; distance to the lowest polymorph of the same formula = 0.000 eV per atom
1.0
16.835 0.000 0.000
0.000 4.307 0.000
0.000 0.000 6.694
Sm Ga Pd
4 8 16
Cartesian
2.337 1.077 0.528 Sm
6.080 3.230 3.875 Sm
10.755 1.077 2.819 Sm
14.498 3.230 6.166 Sm
1.036 3.230 4.932 Ga
3.441 1.077 4.179 Ga
4.976 3.230 0.832 Ga
7.382 1.077 1.585 Ga
9.453 3.230 5.109 Ga
11.859 1.077 5.862 Ga
13.393 3.230 2.515 Ga
15.799 1.077 1.762 Ga
0.377 3.230 0.929 Pd
0.999 1.077 3.263 Pd
2.872 3.230 2.670 Pd
3.568 3.230 5.486 Pd
4.849 1.077 2.139 Pd
5.546 1.077 6.017 Pd
7.419 3.230 6.610 Pd
8.040 1.077 4.276 Pd
8.795 3.230 2.418 Pd
9.416 1.077 0.084 Pd
11.289 3.230 0.677 Pd
11.985 3.230 4.556 Pd
13.267 1.077 1.209 Pd
13.963 1.077 4.024 Pd
15.836 3.230 3.431 Pd
16.458 1.077 5.765 Pd



Sm8GaPd2 PBE-GGA relaxed; space group = No. 12; formation energy = -386 meV/atom; distance to the lowest polymorph of the same formula = 0.000 eV per atom
1.0
9.183 -2.609 0.000
9.183 2.609 0.000
-2.295 0.000 6.523
Sm Ga Pd
8 1 2
Cartesian
-0.115 0.000 1.865 Sm
1.745 0.000 5.448 Sm
4.835 0.000 3.263 Sm
7.389 0.000 0.205 Sm
8.682 0.000 6.318 Sm
11.236 0.000 3.260 Sm
14.326 0.000 1.075 Sm
16.186 0.000 4.658 Sm
8.035 0.000 3.262 Ga
2.643 0.000 1.462 Pd
13.428 0.000 5.061 Pd



Sm3Ga4Pd7 PBE-GGA relaxed; space group = No. 12; formation energy = -836 meV/atom
1.0
7.889 -2.095 0.000
7.889 2.095 0.000
-5.552 0.000 7.870
Sm Ga Pd
3 4 7
Cartesian
0.000 0.000 0.000 Sm
3.299 0.000 2.622 Sm
6.927 0.000 5.248 Sm
-2.843 0.000 6.590 Ga
1.296 0.000 5.714 Ga
8.931 0.000 2.156 Ga
13.069 0.000 1.280 Ga
-2.776 0.000 3.935 Pd
0.183 0.000 3.329 Pd
-0.471 0.000 7.562 Pd
3.852 0.000 5.634 Pd
6.375 0.000 2.236 Pd
10.697 0.000 0.308 Pd
10.044 0.000 4.541 Pd



Sm2GaPd PBE-GGA relaxed; space group = No. 166; formation energy = -498 meV/atom
1.0
1.955 1.129 7.957
-1.955 1.129 7.957
0.000 -2.257 7.957
Sm Ga Pd
2 1 1
Cartesian
0.000 0.000 5.845 Sm
0.000 0.000 18.025 Sm
0.000 0.000 0.000 Ga
0.000 0.000 11.935 Pd



SmGaPd4 PBE-GGA relaxed; space group = No. 216; formation energy = -603 meV/atom; distance to the lowest polymorph of the same formula = 0.101 eV per atom
1.0
0.000 3.790 3.790
3.790 0.000 3.790
3.790 3.790 0.000
Sm Ga Pd
1 1 4
Cartesian
0.000 0.000 0.000 Sm
5.685 5.685 5.685 Ga
2.847 2.847 2.847 Pd
4.733 4.733 2.847 Pd
4.733 2.847 4.733 Pd
2.847 4.733 4.733 Pd



Sm3GaPd3 PBE-GGA relaxed; space group = No. 63; formation energy = -806 meV/atom
1.0
2.097 -5.238 0.000
2.097 5.238 0.000
0.000 0.000 14.406
Sm Ga Pd
6 2 6
Cartesian
2.097 5.100 10.804 Sm
2.097 2.193 8.669 Sm
2.097 2.193 12.939 Sm
2.097 -2.193 1.467 Sm
2.097 -2.193 5.736 Sm
2.097 -5.100 3.601 Sm
0.000 0.000 0.000 Ga
0.000 0.000 7.203 Ga
2.097 2.451 3.601 Pd
2.097 0.812 1.334 Pd
2.097 0.812 5.869 Pd
2.097 -0.812 8.537 Pd
2.097 -0.812 13.072 Pd
2.097 -2.451 10.804 Pd



SmGaPd3 PBE-GGA relaxed; space group = No. 194; formation energy = -626 meV/atom
1.0
6.246 0.000 0.000
-3.123 5.410 0.000
0.000 0.000 11.686
Sm Ga Pd
4 4 12
Cartesian
0.000 0.000 0.000 Sm
0.000 0.000 5.843 Sm
0.000 3.606 2.922 Sm
3.123 1.803 8.765 Sm
0.000 3.606 7.476 Ga
0.000 3.606 10.053 Ga
3.123 1.803 1.633 Ga
3.123 1.803 4.210 Ga
-1.562 2.705 0.000 Pd
-1.562 2.705 5.843 Pd
0.000 1.514 8.765 Pd
-1.812 4.653 8.765 Pd
1.311 0.757 2.922 Pd
3.123 0.000 0.000 Pd
3.123 0.000 5.843 Pd
1.562 2.705 0.000 Pd
1.562 2.705 5.843 Pd
1.812 4.653 8.765 Pd
4.936 0.757 2.922 Pd
3.123 3.896 2.922 Pd



Sm2GaPd PBE-GGA relaxed; space group = No. 123; formation energy = -675 meV/atom
1.0
3.567 0.000 0.000
0.000 3.567 0.000
0.000 0.000 7.447
Sm Ga Pd
2 1 1
Cartesian
0.000 0.000 1.796 Sm
0.000 0.000 5.651 Sm
1.784 1.784 3.724 Ga
1.784 1.784 0.000 Pd



Sm3Ga4Pd PBE-GGA relaxed; space group = No. 71; formation energy = -504 meV/atom
1.0
-2.312 3.330 6.393
2.312 -3.330 6.393
2.312 3.330 -6.393
Sm Ga Pd
3 4 1
Cartesian
0.000 0.000 0.000 Sm
2.312 0.000 4.149 Sm
0.000 3.330 2.244 Sm
2.312 1.339 -1.514 Ga
2.312 1.339 1.514 Ga
0.000 1.991 4.879 Ga
0.000 1.991 7.906 Ga
0.000 0.000 6.393 Pd



SmGaPd PBE-GGA relaxed; space group = No. 62; formation energy = -859 meV/atom
1.0
7.104 0.000 0.000
0.000 4.529 0.000
0.000 0.000 7.712
Sm Ga Pd
4 4 4
Cartesian
0.137 1.132 1.532 Sm
3.414 3.397 5.388 Sm
3.689 1.132 2.324 Sm
6.966 3.397 6.180 Sm
1.247 1.132 4.453 Ga
2.305 3.397 0.597 Ga
4.799 1.132 7.116 Ga
5.857 3.397 3.259 Ga
1.519 3.397 3.128 Pd
2.033 1.132 6.984 Pd
5.071 3.397 0.728 Pd
5.585 1.132 4.584 Pd



Sm4Ga16Pd3 PBE-GGA relaxed; space group = No. 123; formation energy = -592 meV/atom
1.0
6.270 0.000 0.000
0.000 6.270 0.000
0.000 0.000 11.209
Sm Ga Pd
4 16 3
Cartesian
0.000 3.135 2.141 Sm
0.000 3.135 9.068 Sm
3.135 0.000 2.141 Sm
3.135 0.000 9.068 Sm
0.000 0.000 2.242 Ga
0.000 0.000 8.967 Ga
1.315 1.315 0.000 Ga
1.315 4.955 0.000 Ga
1.531 1.531 4.228 Ga
1.531 1.531 6.981 Ga
1.531 4.739 4.228 Ga
1.531 4.739 6.981 Ga
3.135 3.135 2.604 Ga
3.135 3.135 8.604 Ga
4.739 1.531 4.228 Ga
4.739 1.531 6.981 Ga
4.739 4.739 4.228 Ga
4.739 4.739 6.981 Ga
4.955 1.315 0.000 Ga
4.955 4.955 0.000 Ga
0.000 3.135 5.604 Pd
3.135 0.000 5.604 Pd
3.135 3.135 0.000 Pd



SmGa2Pd PBE-GGA relaxed; space group = No. 123; formation energy = -551 meV/atom
1.0
4.192 0.000 0.000
0.000 4.192 0.000
0.000 0.000 4.550
Sm Ga Pd
1 2 1
Cartesian
0.000 0.000 0.000 Sm
0.000 2.096 2.275 Ga
2.096 0.000 2.275 Ga
2.096 2.096 0.000 Pd



Sm2Ga3Pd6 PBE-GGA relaxed; space group = No. 189; formation energy = -710 meV/atom
1.0
7.395 0.000 0.000
-3.698 6.404 0.000
0.000 0.000 4.396
Sm Ga Pd
2 3 6
Cartesian
0.000 4.270 0.000 Sm
3.698 2.135 0.000 Sm
-1.433 2.481 2.198 Ga
2.865 0.000 2.198 Ga
2.265 3.923 2.198 Ga
-0.800 1.386 0.000 Pd
-2.672 4.628 2.198 Pd
1.601 0.000 0.000 Pd
1.026 1.776 2.198 Pd
5.344 0.000 2.198 Pd
2.897 5.018 0.000 Pd



Sm2GaPd PBE-GGA relaxed; space group = No. 11; formation energy = -690 meV/atom
1.0
6.068 0.000 0.000
0.000 4.517 0.000
-2.604 0.000 7.181
Sm Ga Pd
4 2 2
Cartesian
0.026 1.129 2.942 Sm
1.550 3.387 0.520 Sm
1.914 1.129 6.660 Sm
3.439 3.387 4.239 Sm
0.452 3.387 4.993 Ga
3.012 1.129 2.187 Ga
-1.098 1.129 5.692 Pd
4.562 3.387 1.489 Pd



SmGa3Pd5 PBE-GGA relaxed; space group = No. 63; formation energy = -643 meV/atom
1.0
1.932 -6.593 0.000
1.932 6.593 0.000
0.000 0.000 13.030
Sm Ga Pd
2 6 10
Cartesian
1.932 4.989 9.773 Sm
1.932 -4.989 3.258 Sm
1.932 4.898 3.258 Ga
1.932 1.585 0.529 Ga
1.932 1.585 5.986 Ga
1.932 -1.585 7.044 Ga
1.932 -1.585 12.501 Ga
1.932 -4.898 9.773 Ga
0.000 0.000 0.000 Pd
0.000 0.000 6.515 Pd
1.932 3.968 0.937 Pd
1.932 3.968 5.578 Pd
1.932 0.590 8.427 Pd
1.932 0.590 11.118 Pd
1.932 -0.590 1.912 Pd
1.932 -0.590 4.603 Pd
1.932 -3.968 7.452 Pd
1.932 -3.968 12.093 Pd



SmGa3Pd3 PBE-GGA relaxed; space group = No. 11; formation energy = -700 meV/atom; distance to the lowest polymorph of the same formula = 0.000 eV per atom
1.0
6.773 0.000 0.000
0.000 4.278 0.000
-3.184 0.000 8.806
Sm Ga Pd
2 6 6
Cartesian
-0.057 1.070 2.060 Sm
3.646 3.209 6.746 Sm
0.140 3.209 4.505 Ga
-1.027 1.070 8.024 Ga
2.160 3.209 2.991 Ga
1.429 1.070 5.815 Ga
4.616 3.209 0.783 Ga
3.449 1.070 4.301 Ga
-1.079 1.070 5.405 Pd
1.791 3.209 0.494 Pd
0.326 3.209 7.031 Pd
3.263 1.070 1.775 Pd
1.798 1.070 8.313 Pd
4.668 3.209 3.402 Pd



SmGa2Pd8 PBE-GGA relaxed; space group = No. 12; formation energy = -577 meV/atom
1.0
7.097 -2.070 0.000
7.097 2.070 0.000
-2.566 0.000 6.153
Sm Ga Pd
1 2 8
Cartesian
0.000 0.000 0.000 Sm
3.243 0.000 2.034 Ga
8.386 0.000 4.119 Ga
0.228 0.000 2.955 Pd
0.196 0.000 5.728 Pd
2.850 0.000 4.605 Pd
5.823 0.000 1.709 Pd
5.805 0.000 4.444 Pd
8.778 0.000 1.547 Pd
11.432 0.000 0.424 Pd
11.400 0.000 3.198 Pd



Sm2Ga3Pd PBE-GGA relaxed; space group = No. 8; formation energy = -759 meV/atom
1.0
5.238 -2.249 0.000
5.238 2.249 0.000
-4.990 0.000 5.385
Sm Ga Pd
2 3 1
Cartesian
0.000 0.000 0.000 Sm
-2.058 0.000 3.193 Sm
2.992 0.000 1.051 Ga
7.329 0.000 0.005 Ga
5.385 0.000 2.177 Ga
1.050 0.000 3.113 Pd